# 1
{"formula": "KCo2P2O8", "functional": "SCAN", "state": "single point on PBEsol structure", "cell": [[-2.960, -1.679, -8.037], [8.145, -3.159, -3.593], [-1.815, -8.500, 3.698]], "species": ["K", "K", "K", "K", "Co", "Co", "Co", "Co", "Co", "Co", "Co", "Co", "P", "P", "P", "P", "P", "P", "P", "P", "O", "O", "O", "O", "O", "O", "O", "O", "O", "O", "O", "O", "O", "O", "O", "O", "O", "O", "O", "O", "O", "O", "O", "O", "O", "O", "O", "O", "O", "O", "O", "O"], "fractional_positions": [[0.213, 0.567, 0.937], [0.787, 0.433, 0.063], [0.287, 0.937, 0.567], [0.713, 0.063, 0.433], [0.457, 0.455, 0.301], [0.543, 0.545, 0.699], [0.043, 0.301, 0.455], [0.957, 0.699, 0.545], [0.120, 0.193, 0.938], [0.880, 0.807, 0.062], [0.380, 0.938, 0.193], [0.620, 0.062, 0.807], [0.480, 0.218, 0.064], [0.520, 0.782, 0.936], [0.020, 0.064, 0.218], [0.980, 0.936, 0.782], [0.085, 0.575, 0.279], [0.915, 0.425, 0.721], [0.415, 0.279, 0.575], [0.585, 0.721, 0.425], [0.006, 0.364, 0.862], [0.994, 0.636, 0.138], [0.494, 0.862, 0.364], [0.506, 0.138, 0.636], [0.411, 0.401, 0.685], [0.589, 0.599, 0.315], [0.089, 0.685, 0.401], [0.911, 0.315, 0.599], [0.318, 0.248, 0.976], [0.682, 0.752, 0.024], [0.182, 0.976, 0.248], [0.818, 0.024, 0.752], [0.016, 0.175, 0.098], [0.984, 0.825, 0.902], [0.484, 0.098, 0.175], [0.516, 0.902, 0.825], [0.392, 0.820, 0.036], [0.608, 0.180, 0.964], [0.108, 0.036, 0.820], [0.892, 0.964, 0.180], [0.476, 0.644, 0.860], [0.524, 0.356, 0.140], [0.024, 0.860, 0.644], [0.976, 0.140, 0.356], [0.250, 0.524, 0.243], [0.750, 0.476, 0.757], [0.250, 0.243, 0.524], [0.750, 0.757, 0.476], [0.001, 0.448, 0.320], [0.999, 0.552, 0.680], [0.499, 0.320, 0.448], [0.501, 0.680, 0.552]], "formation_energy_uncorrected_ev_per_atom": -2.0826, "volume_a3_per_atom": 14.8, "n_ef_per_ev_atom": 0.38, "spacegroup": "C2/c, No. 15"}

***

# 2
{"formula": "K4Ti3CoP6O24", "functional": "SCAN", "state": "single point on PBEsol structure", "cell": [[-1.010, 9.783, 0.828], [-5.438, -1.251, 8.154], [8.211, 0.382, 5.502]], "species": ["K", "K", "K", "K", "K", "K", "K", "K", "Ti", "Ti", "Ti", "Ti", "Ti", "Ti", "Co", "Co", "P", "P", "P", "P", "P", "P", "P", "P", "P", "P", "P", "P", "O", "O", "O", "O", "O", "O", "O", "O", "O", "O", "O", "O", "O", "O", "O", "O", "O", "O", "O", "O", "O", "O", "O", "O", "O", "O", "O", "O", "O", "O", "O", "O", "O", "O", "O", "O", "O", "O", "O", "O", "O", "O", "O", "O", "O", "O", "O", "O"], "fractional_positions": [[0.949, 0.443, 0.716], [0.318, 0.178, 0.569], [0.818, 0.822, 0.431], [0.449, 0.557, 0.284], [0.044, 0.039, 0.192], [0.688, 0.309, 0.061], [0.188, 0.691, 0.939], [0.544, 0.961, 0.808], [0.611, 0.610, 0.642], [0.161, 0.841, 0.589], [0.661, 0.159, 0.411], [0.111, 0.390, 0.358], [0.837, 0.667, 0.087], [0.337, 0.333, 0.913], [0.394, 0.894, 0.142], [0.894, 0.106, 0.858], [0.620, 0.290, 0.723], [0.291, 0.527, 0.629], [0.978, 0.126, 0.543], [0.478, 0.874, 0.457], [0.791, 0.473, 0.371], [0.120, 0.710, 0.277], [0.374, 0.205, 0.226], [0.705, 0.978, 0.125], [0.029, 0.381, 0.044], [0.529, 0.619, 0.956], [0.205, 0.022, 0.875], [0.874, 0.795, 0.774], [0.223, 0.961, 0.729], [0.660, 0.442, 0.730], [0.779, 0.692, 0.701], [0.012, 0.779, 0.700], [0.992, 0.175, 0.687], [0.247, 0.675, 0.654], [0.602, 0.253, 0.572], [0.439, 0.522, 0.579], [0.552, 0.773, 0.553], [0.049, 0.988, 0.515], [0.201, 0.456, 0.523], [0.329, 0.891, 0.501], [0.829, 0.109, 0.499], [0.701, 0.544, 0.477], [0.549, 0.012, 0.485], [0.052, 0.227, 0.447], [0.939, 0.478, 0.421], [0.102, 0.747, 0.428], [0.747, 0.325, 0.346], [0.492, 0.825, 0.313], [0.512, 0.221, 0.300], [0.279, 0.308, 0.299], [0.160, 0.558, 0.270], [0.723, 0.039, 0.271], [0.770, 0.550, 0.238], [0.316, 0.063, 0.236], [0.222, 0.794, 0.202], [0.979, 0.733, 0.210], [0.024, 0.331, 0.193], [0.746, 0.826, 0.141], [0.398, 0.251, 0.079], [0.560, 0.991, 0.076], [0.455, 0.715, 0.049], [0.960, 0.522, 0.033], [0.805, 0.054, 0.037], [0.679, 0.596, 0.996], [0.179, 0.404, 0.004], [0.305, 0.946, 0.963], [0.460, 0.478, 0.967], [0.955, 0.285, 0.951], [0.060, 0.009, 0.924], [0.898, 0.749, 0.921], [0.246, 0.174, 0.859], [0.524, 0.669, 0.807], [0.479, 0.267, 0.790], [0.722, 0.206, 0.798], [0.816, 0.937, 0.764], [0.270, 0.450, 0.762]], "formation_energy_uncorrected_ev_per_atom": -2.7048, "volume_a3_per_atom": 12.7, "spacegroup": "P2_1, No. 4"}